Record 1
Computed, not measured: a relaxed structure of Y2ScTiN at the GGA-PBE level of DFT.

Output
- ΔE_f (raw): -0.58 eV/atom
- Crystal system: tetragonal
- M_tot: 0.000 μB/f.u.
- Symmetry: No. 123

Cell lengths 5.0302, 5.0302, 4.0869 Å; angles 90.00, 90.00, 90.00 degrees
Fractional coordinates of all 5 atoms:
Y  0.0000  0.5000  0.0000
Y  0.5000  0.0000  0.0000
Sc  0.5000  0.5000  0.5000
N  0.0000  0.0000  0.0000
Ti  0.0000  0.0000  0.5000



Record 2
Computed, not measured: a relaxed structure of VSb3Pd at the GGA-PBE level of DFT.

Output
- ΔE_f (raw): 0.42 eV/atom
- Crystal system: cubic
- M_tot: 0.000 μB/f.u.
- Symmetry: No. 221
- ΔE to the lowest computed polymorph: 0.0000 eV/atom

Cell lengths 5.0434, 5.0434, 5.0434 Å; angles 90.00, 90.00, 90.00 degrees
Fractional coordinates of all 5 atoms:
Sb  0.0000  0.5000  0.0000
Sb  0.0000  0.0000  0.5000
Sb  0.5000  0.0000  0.0000
Pd  0.5000  0.5000  0.5000
V  0.0000  0.0000  0.0000



Record 3
Computed, not measured: a relaxed structure of CrTcPt2 at the GGA-PBE level of DFT.

Output
- Formation energy from the elements: -0.5 eV/f.u.
- Crystal system: monoclinic
- M_tot: 2.134 μB/f.u.
- Symmetry: No. 8
- ΔE to the lowest computed polymorph: 0.0649 eV/atom

Cell lengths 4.7608, 4.7608, 4.7856 Å; angles 79.94, 79.94, 33.23 degrees
Each line ends with the local moment (μB).
Fractional coordinates of all 4 atoms:
Cr  0.2465  0.2465  0.2485  2.08
Pt  0.9931  0.9931  0.0143  0.04
Pt  0.7533  0.7533  0.7353  0.01
Tc  0.5071  0.5071  0.5019  -0.13



Record 4
Computed, not measured: a relaxed structure of MgTl2Cl at the GGA-PBE level of DFT.

Output
- ΔE_f (raw): -0.38 eV/atom
- Crystal system: orthorhombic
- M_tot: 0.000 μB/f.u.
- Symmetry: No. 71
- ΔE to the lowest computed polymorph: 0.1431 eV/atom

Cell lengths 8.3628, 8.3628, 4.3367 Å; angles 74.93, 74.93, 22.90 degrees
Fractional coordinates of all 4 atoms:
Cl  0.2500  0.2500  0.2500
Mg  0.7500  0.7500  0.7500
Tl  0.0717  0.0717  0.9284
Tl  0.4283  0.4283  0.5716



Record 5
Computed, not measured: a relaxed structure of Y8Ho2Tm3 at the GGA-PBE level of DFT.

Output
- Formation energy from the elements: 3.1 eV/f.u.
- Crystal system: monoclinic
- M_tot: 0.000 μB/f.u.
- Symmetry: No. 12

Cell lengths 5.6094, 7.5871, 10.7846 Å; angles 110.59, 90.02, 90.00 degrees
Fractional coordinates of all 13 atoms:
Y  0.0004  0.6685  0.3370
Y  0.9996  0.3315  0.6630
Y  0.9996  0.1329  0.2658
Y  0.0004  0.8671  0.7342
Y  0.5000  0.6051  0.7862
Y  0.5000  0.1811  0.7862
Y  0.5000  0.8189  0.2138
Y  0.5000  0.3949  0.2138
Ho  0.4993  0.2414  0.4828
Ho  0.5007  0.7586  0.5172
Tm  0.5000  0.0000  0.0000
Tm  0.0000  0.2823  0.0000
Tm  0.0000  0.7177  0.0000



Record 6
Computed, not measured: a relaxed structure of LaNiMo2 at the GGA-PBE level of DFT.

Output
- Formation energy from the elements: 1.7 eV/f.u.
- Crystal system: orthorhombic
- M_tot: 0.000 μB/f.u.
- Symmetry: No. 71
- ΔE to the lowest computed polymorph: 0.1990 eV/atom

Cell lengths 6.0695, 6.0695, 6.0695 Å; angles 151.09, 136.75, 52.86 degrees
Fractional coordinates of all 4 atoms:
La  0.2500  0.7500  0.5000
Mo  0.9686  0.9686  0.0000
Mo  0.5314  0.5314  0.0000
Ni  0.7500  0.2500  0.5000



Record 7
Computed, not measured: a relaxed structure of MnCoAs2 at the GGA-PBE level of DFT.

Output
- Formation energy from the elements: 0.2 eV/f.u.
- Crystal system: tetragonal
- M_tot: 3.299 μB/f.u.
- Symmetry: No. 123
- ΔE to the lowest computed polymorph: 0.1588 eV/atom

Cell lengths 4.3154, 4.3154, 2.9740 Å; angles 89.98, 89.98, 89.99 degrees
Each line ends with the local moment (μB).
Fractional coordinates of all 4 atoms:
As  0.0000  0.0000  0.0000  -0.06
As  0.5000  0.5000  0.0000  -0.06
Co  0.5000  0.0000  0.5000  0.56
Mn  0.0000  0.5000  0.5000  2.88



Record 8
Computed, not measured: a relaxed structure of RbBa2Tl8 at the GGA-PBE level of DFT.

Output
- Formation energy from the elements: -2.1 eV/f.u.
- Crystal system: monoclinic
- M_tot: 0.000 μB/f.u.
- Symmetry: No. 12

Cell lengths 6.2730, 7.2015, 10.2797 Å; angles 113.24, 110.86, 81.64 degrees
Fractional coordinates of all 11 atoms:
Rb  0.5000  0.0000  0.0000
Ba  0.6879  0.6879  0.3758
Ba  0.3121  0.3121  0.6242
Tl  0.1628  0.3652  0.2620
Tl  0.9007  0.1031  0.7380
Tl  0.7559  0.4853  0.0000
Tl  0.7065  0.2065  0.4131
Tl  0.2935  0.7935  0.5869
Tl  0.2441  0.5147  0.0000
Tl  0.0993  0.8969  0.2620
Tl  0.8372  0.6348  0.7380



Record 9
Computed, not measured: a relaxed structure of MgRh3C at the GGA-PBE level of DFT.

Output
- Formation energy from the elements: -0.7 eV/f.u.
- Crystal system: orthorhombic
- M_tot: 0.000 μB/f.u.
- Symmetry: No. 38

Cell lengths 5.5255, 4.9668, 5.9077 Å; angles 90.00, 90.00, 123.74 degrees
Fractional coordinates of all 10 atoms:
C  0.7404  0.0730  0.6210
C  0.7403  0.0730  0.1210
Rh  0.5247  0.1440  0.3710
Rh  0.5084  0.6100  0.6210
Rh  0.0265  0.1435  0.3710
Rh  0.5247  0.1440  0.8710
Rh  0.5085  0.6100  0.1210
Rh  0.0265  0.1435  0.8710
Mg  0.0346  0.6618  0.6210
Mg  0.0347  0.6618  0.1210



Record 10
Computed, not measured: a relaxed structure of SmP2Pd4 at the GGA-PBE level of DFT.

Output
- Formation energy from the elements: -5.7 eV/f.u.
- Crystal system: orthorhombic
- M_tot: 0.000 μB/f.u.
- Symmetry: No. 65
- ΔE to the lowest computed polymorph: 0.0053 eV/atom

Cell lengths 4.1911, 4.1597, 6.9569 Å; angles 107.40, 90.00, 90.00 degrees
Fractional coordinates of all 7 atoms:
Sm  0.0000  0.0000  0.0000
P  0.5000  0.5849  0.1699
P  0.5000  0.4151  0.8301
Pd  0.5000  0.8250  0.6501
Pd  0.0000  0.6717  0.3434
Pd  0.5000  0.1750  0.3499
Pd  0.0000  0.3283  0.6566



Record 11
Computed, not measured: a relaxed structure of BaSr2Cr at the GGA-PBE level of DFT.

Output
- Formation energy from the elements: 2.0 eV/f.u.
- Crystal system: tetragonal
- M_tot: 5.025 μB/f.u.
- Symmetry: No. 123
- ΔE to the lowest computed polymorph: 0.0929 eV/atom

Cell lengths 5.9485, 5.4588, 5.4588 Å; angles 90.00, 90.00, 90.00 degrees
Each line ends with the local moment (μB).
Fractional coordinates of all 4 atoms:
Ba  0.5000  0.5000  0.0000  0.02
Cr  0.5000  0.0000  0.5000  4.06
Sr  0.0000  0.0000  0.0000  0.01
Sr  0.0000  0.5000  0.5000  0.01



Record 12
Computed, not measured: a relaxed structure of HoBe2F8 at the GGA-PBE level of DFT.

Output
- ΔE_f (raw): -3.11 eV/atom
- Crystal system: monoclinic
- M_tot: 1.016 μB/f.u.
- Symmetry: No. 12

Cell lengths 5.8170, 5.4555, 5.4555 Å; angles 48.92, 69.67, 69.67 degrees
Each line ends with the local moment (μB).
Fractional coordinates of all 11 atoms:
Ho  0.0000  0.0000  0.0000  -0.01
Be  0.6760  0.7907  0.7907  0.00
Be  0.3240  0.2093  0.2093  0.00
F  0.2259  0.3625  0.8846  0.24
F  0.7741  0.1154  0.6375  0.24
F  0.3929  0.8367  0.8367  0.00
F  0.6071  0.1633  0.1633  0.00
F  0.2259  0.8846  0.3625  0.24
F  0.7741  0.6375  0.1154  0.24
F  0.8275  0.6257  0.6257  0.00
F  0.1725  0.3743  0.3743  0.00



Record 13
Computed, not measured: a relaxed structure of SbPb2AuSe5 at the GGA-PBE level of DFT.

Output
- ΔE_f (raw): -0.23 eV/atom
- Crystal system: orthorhombic
- M_tot: 0.000 μB/f.u.
- Symmetry: No. 36

Cell lengths 3.9895, 9.4979, 13.2246 Å; angles 90.00, 90.00, 102.12 degrees
Fractional coordinates of all 18 atoms:
Sb  0.7859  0.5717  0.5226
Sb  0.2141  0.4283  0.0226
Pb  0.8602  0.7204  0.8182
Pb  0.0989  0.1979  0.6732
Pb  0.1398  0.2796  0.3182
Pb  0.9011  0.8021  0.1732
Au  0.5284  0.0569  0.9403
Au  0.4716  0.9431  0.4403
Se  0.3586  0.7173  0.0023
Se  0.7013  0.4025  0.8742
Se  0.4906  0.9812  0.7599
Se  0.2746  0.5492  0.6795
Se  0.9561  0.9122  0.5538
Se  0.6414  0.2827  0.5023
Se  0.2987  0.5975  0.3742
Se  0.5094  0.0188  0.2599
Se  0.7254  0.4508  0.1795
Se  0.0439  0.0878  0.0538